Compound: Li2AlPb
Source: Alexandria via LeMat-Bulk
Functional: PBE-GGA
Structure: optimized geometry

a b c (Å): 3.4068 4.0718 5.8539
angles (deg): 90.00 90.00 90.00
Space group Pmm2 (No. 25)
Symmetry-distinct sites (fractional):
Li 0.0000 0.0000 0.0000 x1
Li 0.5000 0.5000 0.2588 x1
Al 0.5000 0.5000 0.7727 x1
Pb 0.0000 0.0000 0.5053 x1

Results
Magnetic moment (μB per cell): 0.0
Formation energy from the elements (meV/atom): -93
E (eV per cell): -11.65